Material: Ac7TlSe5
Method: DFT, PBE
State: relaxed

Calculated values
Formation energy (no corrections)   -1.486 eV per atom
M_tot   0.0 μB/f.u.
Symmetry   Cmcm, No. 63
Electronic total energy   -5.22 eV/atom

Cell: 4.484 7.679 27.048 Å, 89.99 90.00 106.98°
Sites, in units of the cell vectors:
Ac  0.479  0.957  0.250
Ac  0.522  0.044  0.750
Ac  0.637  0.274  0.036
Ac  0.364  0.727  0.964
Ac  0.364  0.728  0.536
Ac  0.637  0.274  0.464
Ac  0.187  0.374  0.176
Ac  0.813  0.627  0.824
Ac  0.814  0.627  0.676
Ac  0.187  0.374  0.324
Ac  0.909  0.817  0.110
Ac  0.092  0.183  0.890
Ac  0.092  0.184  0.610
Ac  0.909  0.818  0.390
Tl  0.805  0.610  0.250
Tl  0.196  0.392  0.750
Se  0.000  0.000  0.000
Se  0.726  0.452  0.931
Se  0.275  0.549  0.069
Se  0.548  0.097  0.360
Se  0.452  0.905  0.640
Se  0.000  0.001  0.500
Se  0.275  0.549  0.431
Se  0.726  0.452  0.569
Se  0.452  0.904  0.860
Se  0.548  0.097  0.140